Entry 1:
Below is crystalline Cd2TeIrO6 at its relaxed geometry, with properties calculated at the PBE-GGA level.

VASP energy	-4.96	eV per atom
total magnetization	0.49	μB/cell
calculated volume	14.11	Å³/atom
formation energy from raw total energies	-0.6001	eV per atom
space group	No. 99

a = 4.055 Å, b = 5.899 Å, c = 5.899 Å
α = 90.00°, β = 90.00°, γ = 90.00°
Positions (direct):
Cd  0.994  0.500  0.000
Cd  0.994  0.000  0.500
Te  0.629  0.000  0.000
Ir  0.658  0.500  0.500
O  0.714  0.255  0.255
O  0.714  0.255  0.745
O  0.163  0.500  0.500
O  0.150  0.000  0.000
O  0.714  0.745  0.745
O  0.714  0.745  0.255


Entry 2:
Below is crystalline CdTeIrO6 at its relaxed geometry, with properties calculated at the PBE-GGA level.

VASP energy	-5.67	eV per atom
total magnetization	2.10	μB/cell
calculated volume	13.14	Å³/atom
formation energy from raw total energies	-0.9335	eV per atom
space group	No. 163

a = 5.307 Å, b = 5.307 Å, c = 9.699 Å
α = 90.00°, β = 90.00°, γ = 120.00°
Positions (direct):
Cd  0.000  0.000  0.000
Cd  0.000  0.000  0.500
Te  0.667  0.333  0.250
Te  0.333  0.667  0.750
Ir  0.333  0.667  0.250
Ir  0.667  0.333  0.750
O  0.637  0.636  0.140
O  0.999  0.363  0.140
O  0.363  0.999  0.640
O  0.001  0.637  0.860
O  0.364  0.363  0.360
O  0.999  0.636  0.360
O  0.636  0.999  0.860
O  0.637  0.001  0.360
O  0.001  0.364  0.640
O  0.364  0.001  0.140
O  0.636  0.637  0.640
O  0.363  0.364  0.860


Entry 3:
Below is crystalline Ti2CdIrO8 at its relaxed geometry, with properties calculated at the PBE-GGA level.

VASP energy	-7.25	eV per atom
total magnetization	0.00	μB/cell
calculated volume	11.69	Å³/atom
formation energy from raw total energies	-1.8157	eV per atom
space group	No. 65

a = 4.699 Å, b = 4.695 Å, c = 6.358 Å
α = 90.00°, β = 90.00°, γ = 88.74°
Positions (direct):
Ti  0.500  0.500  0.736
Ti  0.500  0.500  0.264
Cd  0.000  0.000  0.500
Ir  0.000  0.000  0.000
O  0.213  0.786  0.214
O  0.712  0.713  0.000
O  0.787  0.214  0.214
O  0.787  0.214  0.786
O  0.288  0.287  0.000
O  0.213  0.786  0.786
O  0.677  0.678  0.500
O  0.323  0.322  0.500


Among the records above, which one has the lowest VASP energy?
Ti2CdIrO8


Among the records above, which one has the highest calculated volume?
Cd2TeIrO6


What is the total magnetization in the third record?
0.00 μB/cell


What is the formula in the second record?
CdTeIrO6